No. 1
Here is a geometry-optimized Mg2ZrTc structure from Alexandria via LeMat-Bulk. Energies are from PBE.

Structure (CIF):
```
data_Mg2ZrTc
_chemical_formula_sum 'Mg2 Zr1 Tc1'
_symmetry_space_group_name_H-M 'P 1'
_symmetry_Int_Tables_number 1
_cell_length_a 5.651
_cell_length_b 5.514
_cell_length_c 2.862
_cell_angle_alpha 74.35
_cell_angle_beta 83.02
_cell_angle_gamma 114.81
loop_
_symmetry_equiv_pos_as_xyz
'x,y,z'
loop_
_atom_site_label
_atom_site_type_symbol
_atom_site_fract_x
_atom_site_fract_y
_atom_site_fract_z
_atom_site_occupancy
Mg1 Mg 0.000 0.000 0.000 1
Mg2 Mg 0.000 0.500 0.500 1
Tc1 Tc 0.500 0.500 0.000 1
Zr1 Zr 0.500 0.000 0.500 1
```

Summary:
uncorrected energy: -21.48 eV/f.u.
relative energy among the computed polymorphs: 0.699 eV/f.u.


No. 2
Here is a geometry-optimized MgZr2Tc structure from Alexandria via LeMat-Bulk. Energies are from PBE.

Structure (CIF):
```
data_MgZr2Tc
_chemical_formula_sum 'Mg1 Zr2 Tc1'
_symmetry_space_group_name_H-M 'P 1'
_symmetry_Int_Tables_number 1
_cell_length_a 7.348
_cell_length_b 7.348
_cell_length_c 7.348
_cell_angle_alpha 40.66
_cell_angle_beta 151.62
_cell_angle_gamma 151.50
loop_
_symmetry_equiv_pos_as_xyz
'x,y,z'
loop_
_atom_site_label
_atom_site_type_symbol
_atom_site_fract_x
_atom_site_fract_y
_atom_site_fract_z
_atom_site_occupancy
Mg1 Mg 0.000 0.000 0.000 1
Zr1 Zr 0.000 0.324 0.324 1
Zr2 Zr 0.000 0.676 0.676 1
Tc1 Tc 0.000 0.500 0.500 1
```

Summary:
uncorrected energy: -27.44 eV/f.u.


Number 1: N(E_F) 2.343 states/eV/cell. Number 2: N(E_F) 2.084 states/eV/cell.